First-principles (PBE) data for crystalline Mg5CdHg2Rh2 at its relaxed geometry, as listed in Alexandria via LeMat-Bulk.

The structure in POSCAR format:
```
Mg5CdHg2Rh2
1.0
9.9558 0.0000 0.0000
0.0000 9.9558 0.0000
0.0000 0.0000 3.9995
Mg Cd Hg Rh
10 2 4 4
direct
0.0000 0.5000 0.0000
0.0827 0.2085 0.0000
0.2085 0.9173 0.0000
0.2915 0.4173 0.0000
0.4173 0.7085 0.0000
0.5000 0.0000 0.0000
0.5827 0.2915 0.0000
0.7085 0.5827 0.0000
0.7915 0.0827 0.0000
0.9173 0.7915 0.0000
0.0000 0.0000 0.5000
0.5000 0.5000 0.5000
0.1729 0.6729 0.5000
0.3271 0.1729 0.5000
0.6729 0.8271 0.5000
0.8271 0.3271 0.5000
0.1202 0.3798 0.5000
0.3798 0.8798 0.5000
0.6202 0.1202 0.5000
0.8798 0.6202 0.5000
```

Values from the calculation:
- symmetry = P4/mbm (127)
- E_form (meV/atom) = -222


First-principles (PBE) data for crystalline LaTh3N4 at its relaxed geometry, as listed in Alexandria via LeMat-Bulk.

The structure in POSCAR format:
```
LaTh3N4
1.0
3.6884 -5.2028 0.0000
3.6884 5.2028 0.0000
0.0000 0.0000 3.6744
La Th N
1 3 4
direct
0.0000 0.0000 0.0000
0.0000 0.5000 0.5000
0.5000 0.0000 0.5000
0.5000 0.5000 0.0000
0.2571 0.7429 0.0000
0.2658 0.2658 0.5000
0.7342 0.7342 0.5000
0.7429 0.2571 0.0000
```

Values from the calculation:
- symmetry = Cmmm (65)
- formation energy without anion corrections (eV per atom) = -1.531
- distance to the lowest polymorph of the same formula (meV/atom) = 0


First-principles (PBE) data for crystalline PrPHN3 at its relaxed geometry, as listed in Alexandria via LeMat-Bulk.

The structure in POSCAR format:
```
PrPHN3
1.0
5.0944 -3.0858 0.0000
5.0944 3.0858 0.0000
-1.6351 0.0000 5.5372
Pr P H N
2 2 2 6
direct
0.2303 0.2303 0.2927
0.7697 0.7697 0.7073
0.4469 0.4469 0.7887
0.5531 0.5531 0.2113
0.2713 0.7287 0.5000
0.7287 0.2713 0.5000
0.1924 0.6188 0.6171
0.3812 0.8076 0.3829
0.3863 0.3863 0.0317
0.6137 0.6137 0.9683
0.6188 0.1924 0.6171
0.8076 0.3812 0.3829
```

Values from the calculation:
- symmetry = C2/m (12)
- electronic total energy (eV per atom) = -7.122